# Sr3LiCr3O8, optimized geometry, DFT PBE with a Hubbard U
# DFT total energy: -6.72 eV per atom
data_Sr3LiCr3O8
_cell_length_a 6.2989
_cell_length_b 6.2989
_cell_length_c 16.4865
_cell_angle_alpha 90.00
_cell_angle_beta 90.00
_cell_angle_gamma 120.00
_space_group_name_H-M_alt 'R -3 m'
_space_group_IT_number 166
_space_group_name_Hall '-R 3 2"'
loop_
_atom_site_label
_atom_site_fract_x
_atom_site_fract_y
_atom_site_fract_z
Sr1 0.0000 0.5000 0.0000
Li1 0.0000 0.0000 0.5000
Cr1 0.0000 0.5000 0.5000
O1 0.0000 0.0000 0.2319
O2 0.0137 0.5068 0.7682